Entry 1:
This record from Alexandria describes a relaxed TaTl3In3Se8 crystal. The functional is PBE.

Summary:
SG	C2/m
density of states at the Fermi level	0.28	states/eV/atom

Cell: 8.0519 8.0519 9.0639 Å, 116.39 116.39 59.88°
Fractional positions:
Ta  0.0000  0.0000  0.0000
Tl  0.0000  0.0000  0.5000
Tl  0.0000  0.5000  0.5000
Tl  0.5000  0.0000  0.5000
In  0.0000  0.5000  0.0000
In  0.5000  0.0000  0.0000
In  0.5000  0.5000  0.0000
Se  0.2193  0.2193  0.1932
Se  0.2196  0.7545  0.1934
Se  0.2455  0.7804  0.8066
Se  0.2666  0.2666  0.8002
Se  0.7334  0.7334  0.1998
Se  0.7545  0.2196  0.1934
Se  0.7804  0.2455  0.8066
Se  0.7807  0.7807  0.8068

---

Entry 2:
This record from Alexandria describes a relaxed YTaInSe2 crystal. The functional is PBE.

Summary:
ΔE to the lowest computed polymorph	0	meV/atom
SG	P4/mmm
density of states at the Fermi level	1.09	states/eV/atom

Cell: 5.3969 5.3969 5.8228 Å, 90.00 90.00 90.00°
Fractional positions:
Y  0.0000  0.0000  0.0000
Ta  0.0000  0.0000  0.5000
In  0.5000  0.5000  0.5000
Se  0.0000  0.5000  0.0000
Se  0.5000  0.0000  0.0000

---

Entry 3:
This record from Alexandria describes a relaxed YTaInSe2 crystal. The functional is PBE.

Summary:
ΔE to the lowest computed polymorph	501	meV/atom
SG	P4/mmm
density of states at the Fermi level	1.01	states/eV/atom

Cell: 5.1882 5.1882 5.6454 Å, 90.00 90.00 90.00°
Fractional positions:
Y  0.0000  0.0000  0.0000
Ta  0.5000  0.5000  0.0000
In  0.0000  0.0000  0.5000
Se  0.0000  0.5000  0.5000
Se  0.5000  0.0000  0.5000

---

Entry 4:
This record from Alexandria describes a relaxed Tb6InSe4 crystal. The functional is PBE.

Summary:
SG	Cmcm
density of states at the Fermi level	0.78	states/eV/atom

Cell: 7.1166 7.1166 20.8633 Å, 90.00 90.00 146.86°
Fractional positions:
Tb  0.0000  0.0000  0.0000
Tb  0.0000  0.0000  0.5000
Tb  0.1550  0.8450  0.7500
Tb  0.2715  0.7286  0.0878
Tb  0.2715  0.7286  0.4122
Tb  0.4530  0.5470  0.6631
Tb  0.4530  0.5470  0.8369
Tb  0.5470  0.4530  0.1631
Tb  0.5470  0.4530  0.3369
Tb  0.7286  0.2715  0.5878
Tb  0.7286  0.2715  0.9122
Tb  0.8450  0.1550  0.2500
In  0.1706  0.8294  0.2500
In  0.8294  0.1706  0.7500
Se  0.0889  0.9111  0.6227
Se  0.0889  0.9111  0.8773
Se  0.3610  0.6390  0.5391
Se  0.3610  0.6390  0.9609
Se  0.6390  0.3610  0.0391
Se  0.6390  0.3610  0.4609
Se  0.9111  0.0889  0.1227
Se  0.9111  0.0889  0.3773

---

Entry 5:
This record from Alexandria describes a relaxed Tb2InSe crystal. The functional is PBE.

Summary:
ΔE to the lowest computed polymorph	28	meV/atom
SG	R-3m
density of states at the Fermi level	0.45	states/eV/atom

Cell: 8.3327 8.3327 8.3327 Å, 27.40 27.40 27.40°
Fractional positions:
Tb  0.2400  0.2400  0.2400
Tb  0.7600  0.7600  0.7600
In  0.0000  0.0000  0.0000
Se  0.5000  0.5000  0.5000

---

Entry 6:
This record from Alexandria describes a relaxed Tb2InSe crystal. The functional is PBE.

Summary:
ΔE to the lowest computed polymorph	81	meV/atom
SG	R3m
density of states at the Fermi level	0.73	states/eV/atom

Cell: 8.6034 8.6034 8.6034 Å, 26.16 26.16 26.16°
Fractional positions:
Tb  0.0000  0.0000  0.0000
Tb  0.1913  0.1913  0.1913
In  0.4288  0.4288  0.4288
Se  0.5966  0.5966  0.5966

---

Entry 7:
This record from Alexandria describes a relaxed Tb3InSe crystal. The functional is PBE.

Summary:
SG	Pnma
density of states at the Fermi level	0.74	states/eV/atom

Cell: 9.1097 4.0238 15.2627 Å, 90.00 90.00 90.00°
Fractional positions:
Tb  0.0362  0.2500  0.1160
Tb  0.1589  0.2500  0.5177
Tb  0.2057  0.7500  0.2805
Tb  0.2943  0.2500  0.7805
Tb  0.3411  0.7500  0.0177
Tb  0.4638  0.7500  0.6160
Tb  0.5362  0.2500  0.3840
Tb  0.6589  0.2500  0.9823
Tb  0.7057  0.7500  0.2195
Tb  0.7943  0.2500  0.7195
Tb  0.8411  0.7500  0.4823
Tb  0.9638  0.7500  0.8840
In  0.0676  0.7500  0.6744
In  0.4324  0.2500  0.1744
In  0.5676  0.7500  0.8256
In  0.9324  0.2500  0.3256
Se  0.1614  0.2500  0.9451
Se  0.3386  0.7500  0.4451
Se  0.6614  0.2500  0.5549
Se  0.8386  0.7500  0.0549

---

Entry 8:
This record from Alexandria describes a relaxed TbInSe3 crystal. The functional is PBE.

Summary:
ΔE to the lowest computed polymorph	0	meV/atom
SG	P2_1/m

Cell: 7.2943 4.1815 10.5069 Å, 90.00 98.80 90.00°
Fractional positions:
Tb  0.2112  0.2500  0.4328
Tb  0.7888  0.7500  0.5672
In  0.4044  0.2500  0.8591
In  0.5956  0.7500  0.1409
Se  0.0385  0.2500  0.6563
Se  0.2660  0.7500  0.9657
Se  0.4683  0.7500  0.3594
Se  0.5317  0.2500  0.6406
Se  0.7340  0.2500  0.0343
Se  0.9615  0.7500  0.3437

---

Going through the records in order, we get uncorrected formation energy values of -0.53; 0.66; 1.16; -1.39; -1.09; -1.04; -0.90; -1.16 eV per atom.
Going through the records in order, we get E values of -62.96; -24.74; -22.24; -119.52; -19.86; -19.64; -98.45; -47.22 eV per cell.